No. 1
# GeNO (GGA-PBE, relaxed)
# * formation energy without anion corrections: -0.01 eV/atom
# * M_tot: 2.02 Bohr magnetons per cell
# * calculated volume: 73.08 Å³ per cell
data_GeNO
_chemical_formula_sum 'Ge2 N2 O2'
_cell_length_a 5.244
_cell_length_b 3.031
_cell_length_c 4.669
_cell_angle_alpha 90.00
_cell_angle_beta 100.10
_cell_angle_gamma 90.00
_space_group_name_H-M_alt 'C 1 m 1'
_space_group_IT_number 8
loop_
_space_group_symop_operation_xyz
'x,y,z'
'x,-y,z'
'x+1/2,y+1/2,z'
'x+1/2,-y+1/2,z'
loop_
_atom_site_label
_atom_site_type_symbol
_atom_site_fract_x
_atom_site_fract_y
_atom_site_fract_z
Ge1 Ge 0.000 0.000 0.000
N1 N 0.194 0.500 0.177
O1 O 0.297 0.000 0.768

---

No. 2
# LiScCr4 (GGA-PBE, relaxed)
# * VASP energy: -7.390 eV/atom
# * M_tot: 0.00 Bohr magnetons per cell
# * calculated volume: 337.53 Å³ per cell
data_LiScCr4
_chemical_formula_sum 'Li4 Sc4 Cr16'
_cell_length_a 6.963
_cell_length_b 6.963
_cell_length_c 6.963
_cell_angle_alpha 90.00
_cell_angle_beta 90.00
_cell_angle_gamma 90.00
_space_group_name_H-M_alt 'F -4 3 m'
_space_group_IT_number 216
_space_group_name_Hall 'F -4 2 3'
loop_
_atom_site_label
_atom_site_type_symbol
_atom_site_fract_x
_atom_site_fract_y
_atom_site_fract_z
Li1 Li 0.000 0.000 0.000
Sc1 Sc 0.250 0.250 0.750
Cr1 Cr 0.125 0.125 0.375